# SrMgTc3 (PBE, optimized geometry)
# - Distance to the lowest polymorph of the same formula: 914 meV per atom
# - Magnetic moment: 3.6 Bohr magnetons per cell
# - DOS at the Fermi energy: 5.3 states/eV per cell
# - Total energy: -21.3 eV per cell
data_SrMgTc3
_cell_length_a 4.848
_cell_length_b 4.848
_cell_length_c 4.848
_cell_angle_alpha 90.00
_cell_angle_beta 90.00
_cell_angle_gamma 90.00
_space_group_name_H-M_alt 'P m -3 m'
_space_group_IT_number 221
_space_group_name_Hall '-P 4 2 3'
loop_
_atom_site_label
_atom_site_type_symbol
_atom_site_fract_x
_atom_site_fract_y
_atom_site_fract_z
_atom_site_occupancy
Sr1 Sr 0.000 0.000 0.000 1
Mg1 Mg 0.500 0.500 0.500 1
Tc1 Tc 0.000 0.000 0.500 1

# Sr2MgTc (PBE, optimized geometry)
# - Magnetic moment: 1.6 Bohr magnetons per cell
# - DOS at the Fermi energy: 3.8 states/eV per cell
# - Total energy: -13.0 eV per cell
data_Sr2MgTc
_cell_length_a 3.593
_cell_length_b 3.593
_cell_length_c 9.429
_cell_angle_alpha 90.00
_cell_angle_beta 90.00
_cell_angle_gamma 90.00
_space_group_name_H-M_alt 'P 4/m m m'
_space_group_IT_number 123
_space_group_name_Hall '-P 4 2'
loop_
_atom_site_label
_atom_site_type_symbol
_atom_site_fract_x
_atom_site_fract_y
_atom_site_fract_z
_atom_site_occupancy
Sr1 Sr 0.000 0.000 0.210 1
Mg1 Mg 0.500 0.500 0.500 1
Tc1 Tc 0.500 0.500 0.000 1

# SrMgTc3 (PBE, optimized geometry)
# - Distance to the lowest polymorph of the same formula: 0 meV per atom
# - Magnetic moment: 5.7 Bohr magnetons per cell
# - DOS at the Fermi energy: 8.4 states/eV per cell
# - Total energy: -25.8 eV per cell
data_SrMgTc3
_cell_length_a 4.814
_cell_length_b 4.814
_cell_length_c 4.814
_cell_angle_alpha 90.00
_cell_angle_beta 90.00
_cell_angle_gamma 90.00
_space_group_name_H-M_alt 'P m -3 m'
_space_group_IT_number 221
_space_group_name_Hall '-P 4 2 3'
loop_
_atom_site_label
_atom_site_type_symbol
_atom_site_fract_x
_atom_site_fract_y
_atom_site_fract_z
_atom_site_occupancy
Sr1 Sr 0.000 0.000 0.000 1
Mg1 Mg 0.500 0.500 0.500 1
Tc1 Tc 0.000 0.500 0.500 1

# Sr2MgTc (PBE, optimized geometry)
# - Magnetic moment: 2.6 Bohr magnetons per cell
# - DOS at the Fermi energy: 8.4 states/eV per cell
# - Total energy: -26.4 eV per cell
data_Sr2MgTc
_cell_length_a 3.622
_cell_length_b 5.631
_cell_length_c 11.809
_cell_angle_alpha 90.00
_cell_angle_beta 90.00
_cell_angle_gamma 90.00
_space_group_name_H-M_alt 'I m m 2'
_space_group_IT_number 44
loop_
_space_group_symop_operation_xyz
'x,y,z'
'-x,-y,z'
'-x,y,z'
'x,-y,z'
'x+1/2,y+1/2,z+1/2'
'-x+1/2,-y+1/2,z+1/2'
'-x+1/2,y+1/2,z+1/2'
'x+1/2,-y+1/2,z+1/2'
loop_
_atom_site_label
_atom_site_type_symbol
_atom_site_fract_x
_atom_site_fract_y
_atom_site_fract_z
_atom_site_occupancy
Sr1 Sr 0.000 0.000 0.000 1
Sr2 Sr 0.000 0.500 0.199 1
Mg1 Mg 0.000 0.000 0.403 1
Tc1 Tc 0.000 0.500 0.731 1

# Sr2MgTc (PBE, optimized geometry)
# - Magnetic moment: 4.1 Bohr magnetons per cell
# - DOS at the Fermi energy: 8.1 states/eV per cell
# - Total energy: -24.2 eV per cell
data_Sr2MgTc
_cell_length_a 10.390
_cell_length_b 3.489
_cell_length_c 6.879
_cell_angle_alpha 90.00
_cell_angle_beta 99.22
_cell_angle_gamma 90.00
_space_group_name_H-M_alt 'C 1 2/m 1'
_space_group_IT_number 12
loop_
_space_group_symop_operation_xyz
'x,y,z'
'-x,-y,-z'
'-x,y,-z'
'x,-y,z'
'x+1/2,y+1/2,z'
'-x+1/2,-y+1/2,-z'
'-x+1/2,y+1/2,-z'
'x+1/2,-y+1/2,z'
loop_
_atom_site_label
_atom_site_type_symbol
_atom_site_fract_x
_atom_site_fract_y
_atom_site_fract_z
_atom_site_occupancy
Sr1 Sr 0.236 0.000 0.226 1
Mg1 Mg 0.000 0.000 0.500 1
Tc1 Tc 0.000 0.500 0.000 1

# Sr3MgTc (PBE, optimized geometry)
# - Distance to the lowest polymorph of the same formula: 0 meV per atom
# - Magnetic moment: 1.2 Bohr magnetons per cell
# - DOS at the Fermi energy: 3.3 states/eV per cell
# - Total energy: -14.3 eV per cell
data_Sr3MgTc
_cell_length_a 5.829
_cell_length_b 5.829
_cell_length_c 5.829
_cell_angle_alpha 90.00
_cell_angle_beta 90.00
_cell_angle_gamma 90.00
_space_group_name_H-M_alt 'P m -3 m'
_space_group_IT_number 221
_space_group_name_Hall '-P 4 2 3'
loop_
_atom_site_label
_atom_site_type_symbol
_atom_site_fract_x
_atom_site_fract_y
_atom_site_fract_z
_atom_site_occupancy
Sr1 Sr 0.000 0.000 0.500 1
Mg1 Mg 0.500 0.500 0.500 1
Tc1 Tc 0.000 0.000 0.000 1

# Sr2MgTc (PBE, optimized geometry)
# - Magnetic moment: 1.9 Bohr magnetons per cell
# - DOS at the Fermi energy: 15.7 states/eV per cell
# - Total energy: -37.1 eV per cell
data_Sr2MgTc
_cell_length_a 3.7698
_cell_length_b 3.7698
_cell_length_c 31.1559
_cell_angle_alpha 90.00
_cell_angle_beta 90.00
_cell_angle_gamma 120.00
_space_group_name_H-M_alt 'R 3 m'
_space_group_IT_number 160
_space_group_name_Hall 'R 3 -2"'
loop_
_atom_site_label
_atom_site_type_symbol
_atom_site_fract_x
_atom_site_fract_y
_atom_site_fract_z
_atom_site_occupancy
Sr1 Sr 0.0000 0.0000 0.0000 1
Sr2 Sr 0.0000 0.0000 0.2136 1
Mg1 Mg 0.0000 0.0000 0.4542 1
Tc1 Tc 0.0000 0.0000 0.7360 1

# SrMg3Tc (PBE, optimized geometry)
# - Distance to the lowest polymorph of the same formula: 0 meV per atom
# - Magnetic moment: 0.0 Bohr magnetons per cell
# - DOS at the Fermi energy: 2.7 states/eV per cell
# - Total energy: -15.3 eV per cell
data_SrMg3Tc
_cell_length_a 5.138
_cell_length_b 5.138
_cell_length_c 5.138
_cell_angle_alpha 90.00
_cell_angle_beta 90.00
_cell_angle_gamma 90.00
_space_group_name_H-M_alt 'P m -3 m'
_space_group_IT_number 221
_space_group_name_Hall '-P 4 2 3'
loop_
_atom_site_label
_atom_site_type_symbol
_atom_site_fract_x
_atom_site_fract_y
_atom_site_fract_z
_atom_site_occupancy
Sr1 Sr 0.000 0.000 0.000 1
Mg1 Mg 0.000 0.500 0.500 1
Tc1 Tc 0.500 0.500 0.500 1